VASP calculation (PBE with a Hubbard U) on a relaxed structure of SrNi2C2O6.

abc: 5.175 5.175 6.593
angles: 90.00 90.00 120.00
Fractional positions:
O (0.666, 0.584, 0.238)
O (0.918, 0.334, 0.238)
O (0.082, 0.666, 0.762)
O (0.334, 0.416, 0.762)
O (0.584, 0.918, 0.762)
O (0.416, 0.082, 0.238)
Ni (0.333, 0.667, 0.286)
Ni (0.667, 0.333, 0.714)
Sr (0.000, 0.000, 0.000)
C (0.333, 0.667, 0.759)
C (0.667, 0.333, 0.241)

Computed properties:
For the energy, the calculation gives -6.16 eV/atom.